The following is a PBE-GGA calculation of a relaxed ScZn3Ag crystal, from Alexandria.

Calculated values
The value obtained for the formation energy is -0.107 eV/atom. Its density of states at the Fermi level is 4.03 states/eV/cell. The calculated volume is 17.90 Å³/atom.

```
ScZn3Ag
1.0
2.4628 -7.4752 0.0000
2.4628 7.4752 0.0000
0.0000 0.0000 4.8605
Sc Zn Ag
2 6 2
Direct
0.1962 0.8038 0.7500
0.8038 0.1962 0.2500
0.0000 0.0000 0.0000
0.0000 0.0000 0.5000
0.1222 0.3858 0.7500
0.3858 0.1222 0.2500
0.6142 0.8778 0.7500
0.8778 0.6142 0.2500
0.4258 0.5742 0.2500
0.5742 0.4258 0.7500
```

=====

The following is a PBE-GGA calculation of a relaxed Sc2Zn16Ag crystal, from Alexandria.

Calculated values
The value obtained for the formation energy is -0.168 eV/atom. Its density of states at the Fermi level is 5.14 states/eV/cell. The calculated volume is 15.70 Å³/atom.

```
Sc2Zn16Ag
1.0
4.4422 2.5647 4.3633
-4.4422 2.5647 4.3633
0.0000 -5.1294 4.3633
Sc Zn Ag
2 16 1
Direct
0.0000 0.0000 0.0000
0.3284 0.3284 0.3284
0.0183 0.0183 0.5023
0.0183 0.5023 0.0183
0.1664 0.6623 0.6623
0.3079 0.3079 0.8294
0.3079 0.8294 0.3079
0.3607 0.6644 0.9668
0.3607 0.9668 0.6644
0.5023 0.0183 0.0183
0.5549 0.5549 0.5549
0.6623 0.1664 0.6623
0.6623 0.6623 0.1664
0.6644 0.3607 0.9668
0.6644 0.9668 0.3607
0.8294 0.3079 0.3079
0.9668 0.3607 0.6644
0.9668 0.6644 0.3607
0.7625 0.7625 0.7625
```

=====

The following is a PBE-GGA calculation of a relaxed Sc8ZnAg2 crystal, from Alexandria.

Calculated values
The value obtained for the formation energy is -0.149 eV/atom. Its density of states at the Fermi level is 9.52 states/eV/cell. The calculated volume is 22.15 Å³/atom.

```
Sc8ZnAg2
1.0
8.1428 -2.4260 0.0000
8.1428 2.4260 0.0000
-2.0583 0.0000 6.1663
Sc Zn Ag
8 1 2
Direct
0.0264 0.0264 0.2843
0.1929 0.1929 0.7907
0.3338 0.3338 0.5353
0.4041 0.4041 0.0468
0.5959 0.5959 0.9532
0.6662 0.6662 0.4647
0.8071 0.8071 0.2093
0.9736 0.9736 0.7157
0.5000 0.5000 0.5000
0.1833 0.1833 0.2024
0.8167 0.8167 0.7976
```

=====

The following is a PBE-GGA calculation of a relaxed ScZn2Ag crystal, from Alexandria.

Calculated values
The value obtained for the formation energy is -0.271 eV/atom. Its density of states at the Fermi level is 1.71 states/eV/cell. The calculated volume is 16.91 Å³/atom.

```
ScZn2Ag
1.0
0.0000 3.2338 3.2338
3.2338 0.0000 3.2338
3.2338 3.2338 0.0000
Sc Zn Ag
1 2 1
Direct
0.0000 0.0000 0.0000
0.2500 0.2500 0.2500
0.7500 0.7500 0.7500
0.5000 0.5000 0.5000
```

=====

The following is a PBE-GGA calculation of a relaxed ScZn4Ag crystal, from Alexandria.

Calculated values
The value obtained for the formation energy is -0.167 eV/atom. Its density of states at the Fermi level is 3.63 states/eV/cell. The calculated volume is 16.41 Å³/atom.

```
ScZn4Ag
1.0
0.0000 3.6649 3.6649
3.6649 0.0000 3.6649
3.6649 3.6649 0.0000
Sc Zn Ag
1 4 1
Direct
0.0000 0.0000 0.0000
0.3745 0.3745 0.3745
0.3745 0.3745 0.8765
0.3745 0.8765 0.3745
0.8765 0.3745 0.3745
0.7500 0.7500 0.7500
```

=====

The following is a PBE-GGA calculation of a relaxed ScZn2Ag8 crystal, from Alexandria.

Calculated values
The value obtained for the formation energy is -0.081 eV/atom. Its density of states at the Fermi level is 3.62 states/eV/cell. The calculated volume is 17.50 Å³/atom.

```
ScZn2Ag8
1.0
7.2268 -2.1226 0.0000
7.2268 2.1226 0.0000
-2.1642 0.0000 6.2754
Sc Zn Ag
1 2 8
Direct
0.0000 0.0000 0.0000
0.2731 0.2731 0.3551
0.7269 0.7269 0.6449
0.0990 0.0990 0.4661
0.1836 0.1836 0.9213
0.3575 0.3575 0.7946
0.4524 0.4524 0.2704
0.5476 0.5476 0.7296
0.6425 0.6425 0.2054
0.8164 0.8164 0.0787
0.9010 0.9010 0.5339
```

=====

The following is a PBE-GGA calculation of a relaxed ScZn2Ag3 crystal, from Alexandria.

Calculated values
The value obtained for the formation energy is -0.158 eV/atom. Its density of states at the Fermi level is 3.88 states/eV/cell. The calculated volume is 17.69 Å³/atom.

```
ScZn2Ag3
1.0
4.5735 0.0000 0.0000
-2.2867 3.9607 0.0000
0.0000 0.0000 11.7181
Sc Zn Ag
2 4 6
Direct
0.0000 0.0000 0.2500
0.0000 0.0000 0.7500
0.3333 0.6667 0.1251
0.3333 0.6667 0.3749
0.6667 0.3333 0.6251
0.6667 0.3333 0.8749
0.0000 0.0000 0.0000
0.0000 0.0000 0.5000
0.3333 0.6667 0.6172
0.3333 0.6667 0.8828
0.6667 0.3333 0.1172
0.6667 0.3333 0.3828
```

=====

The following is a PBE-GGA calculation of a relaxed Sc4ZnAg2 crystal, from Alexandria.

Calculated values
The value obtained for the formation energy is -0.141 eV/atom. Its density of states at the Fermi level is 6.39 states/eV/cell. The calculated volume is 21.60 Å³/atom.

```
Sc4ZnAg2
1.0
2.3829 1.3757 7.6875
-2.3829 1.3757 7.6875
0.0000 -2.7515 7.6875
Sc Zn Ag
4 1 2
Direct
0.1200 0.1200 0.1200
0.3725 0.3725 0.3725
0.6275 0.6275 0.6275
0.8800 0.8800 0.8800
0.5000 0.5000 0.5000
0.2461 0.2461 0.2461
0.7539 0.7539 0.7539
```

=====

The following is a PBE-GGA calculation of a relaxed ScZn5Ag6 crystal, from Alexandria.

Calculated values
The value obtained for the formation energy is -0.076 eV/atom. Its density of states at the Fermi level is 2.93 states/eV/cell. The calculated volume is 16.79 Å³/atom.

```
ScZn5Ag6
1.0
4.4334 0.0000 0.0000
0.0000 6.9538 0.0000
-2.1409 0.0000 6.5364
Sc Zn Ag
1 5 6
Direct
0.0000 0.0000 0.0000
0.0000 0.5000 0.0000
0.3342 0.0000 0.6668
0.3355 0.5000 0.6770
0.6645 0.5000 0.3230
0.6658 0.0000 0.3332
0.1720 0.2608 0.3416
0.1720 0.7392 0.3416
0.5000 0.2587 0.0000
0.5000 0.7413 0.0000
0.8280 0.2608 0.6584
0.8280 0.7392 0.6584
```

=====

The following is a PBE-GGA calculation of a relaxed ScZn2Ag crystal, from Alexandria.

Calculated values
The value obtained for the formation energy is -0.190 eV/atom. Its density of states at the Fermi level is 2.91 states/eV/cell. The calculated volume is 17.79 Å³/atom.

```
ScZn2Ag
1.0
4.1404 0.0000 0.0000
0.0000 4.1404 0.0000
0.0000 0.0000 4.1513
Sc Zn Ag
1 2 1
Direct
0.0000 0.0000 0.0000
0.0000 0.5000 0.5000
0.5000 0.0000 0.5000
0.5000 0.5000 0.0000
```

=====

The following is a PBE-GGA calculation of a relaxed Sc2ZnAg2 crystal, from Alexandria.

Calculated values
The value obtained for the formation energy is -0.023 eV/atom. Its density of states at the Fermi level is 6.44 states/eV/cell. The calculated volume is 21.03 Å³/atom.

```
Sc2ZnAg2
1.0
7.8089 0.0000 0.0000
0.0000 7.8089 0.0000
0.0000 0.0000 3.4481
Sc Zn Ag
4 2 4
Direct
0.1601 0.3399 0.0000
0.3399 0.8399 0.0000
0.6601 0.1601 0.0000
0.8399 0.6601 0.0000
0.0000 0.0000 0.0000
0.5000 0.5000 0.0000
0.1337 0.6337 0.5000
0.3663 0.1337 0.5000
0.6337 0.8663 0.5000
0.8663 0.3663 0.5000
```

=====

The following is a PBE-GGA calculation of a relaxed ScZn2Ag crystal, from Alexandria.

Calculated values
The value obtained for the formation energy is -0.158 eV/atom. Its density of states at the Fermi level is 2.49 states/eV/cell. The calculated volume is 18.48 Å³/atom.

```
ScZn2Ag
1.0
3.0754 0.0000 0.0000
0.0000 4.5824 0.0000
-0.0253 0.0000 5.2461
Sc Zn Ag
1 2 1
Direct
0.0000 0.0000 0.0000
0.4953 0.5000 0.7576
0.5047 0.5000 0.2424
0.5000 0.0000 0.5000
```

=====

The following is a PBE-GGA calculation of a relaxed ScZn17Ag crystal, from Alexandria.

Calculated values
The value obtained for the formation energy is -0.064 eV/atom. Its density of states at the Fermi level is 6.18 states/eV/cell. The calculated volume is 15.83 Å³/atom.

```
ScZn17Ag
1.0
4.4207 2.5523 4.4442
-4.4207 2.5523 4.4442
0.0000 -5.1046 4.4442
Sc Zn Ag
1 17 1
Direct
0.0000 0.0000 0.0000
0.0108 0.0108 0.5098
0.0108 0.5098 0.0108
0.1713 0.6767 0.6767
0.3190 0.3190 0.8291
0.3190 0.8291 0.3190
0.3592 0.6607 0.9898
0.3592 0.9898 0.6607
0.5098 0.0108 0.0108
0.5700 0.5700 0.5700
0.6607 0.3592 0.9898
0.6607 0.9898 0.3592
0.6767 0.1713 0.6767
0.6767 0.6767 0.1713
0.7686 0.7686 0.7686
0.8291 0.3190 0.3190
0.9898 0.3592 0.6607
0.9898 0.6607 0.3592
0.2564 0.2564 0.2564
```

=====

The following is a PBE-GGA calculation of a relaxed ScZn3Ag crystal, from Alexandria.

Calculated values
The value obtained for the formation energy is 0.322 eV/atom. Its density of states at the Fermi level is 4.73 states/eV/cell. The calculated volume is 21.65 Å³/atom.

```
ScZn3Ag
1.0
4.7658 0.0000 0.0000
0.0000 4.7658 0.0000
0.0000 0.0000 4.7658
Sc Zn Ag
1 3 1
Direct
0.0000 0.0000 0.0000
0.0000 0.5000 0.5000
0.5000 0.0000 0.5000
0.5000 0.5000 0.0000
0.5000 0.5000 0.5000
```

=====

The following is a PBE-GGA calculation of a relaxed Sc4ZnAg crystal, from Alexandria.

Calculated values
The value obtained for the formation energy is 0.334 eV/atom. Its density of states at the Fermi level is 5.80 states/eV/cell. The calculated volume is 22.23 Å³/atom.

```
Sc4ZnAg
1.0
0.0000 4.0552 4.0552
4.0552 0.0000 4.0552
4.0552 4.0552 0.0000
Sc Zn Ag
4 1 1
Direct
0.1245 0.1245 0.1245
0.1245 0.1245 0.6264
0.1245 0.6264 0.1245
0.6264 0.1245 0.1245
0.7500 0.7500 0.7500
0.5000 0.5000 0.5000
```

=====

The following is a PBE-GGA calculation of a relaxed ScZn2Ag crystal, from Alexandria.

Calculated values
The value obtained for the formation energy is -0.167 eV/atom. Its density of states at the Fermi level is 2.15 states/eV/cell. The calculated volume is 17.57 Å³/atom.

```
ScZn2Ag
1.0
3.3149 0.0000 0.0000
0.0000 3.3149 0.0000
0.0000 0.0000 6.3941
Sc Zn Ag
1 2 1
Direct
0.0000 0.0000 0.0000
0.0000 0.0000 0.4801
0.5000 0.5000 0.2623
0.5000 0.5000 0.7212
```

=====

The following is a PBE-GGA calculation of a relaxed Sc2Zn6Ag crystal, from Alexandria.

Calculated values
The value obtained for the formation energy is -0.237 eV/atom. Its density of states at the Fermi level is 4.17 states/eV/cell. The calculated volume is 17.03 Å³/atom.

```
Sc2Zn6Ag
1.0
7.6222 0.0000 0.0000
-3.8111 6.6011 0.0000
0.0000 0.0000 3.0470
Sc Zn Ag
2 6 1
Direct
0.3333 0.6667 0.0000
0.6667 0.3333 0.0000
0.0000 0.3299 0.5000
0.0000 0.6701 0.5000
0.3299 0.0000 0.5000
0.3299 0.3299 0.5000
0.6701 0.0000 0.5000
0.6701 0.6701 0.5000
0.0000 0.0000 0.0000
```

=====

The following is a PBE-GGA calculation of a relaxed Sc3Zn7Ag crystal, from Alexandria.

Calculated values
The value obtained for the formation energy is -0.144 eV/atom. Its density of states at the Fermi level is 15.55 states/eV/cell. The calculated volume is 18.24 Å³/atom.

```
Sc3Zn7Ag
1.0
1.5841 -9.7784 0.0000
1.5841 9.7784 0.0000
0.0000 0.0000 12.9499
Sc Zn Ag
6 14 2
Direct
0.1176 0.8824 0.5501
0.1176 0.8824 0.9499
0.2592 0.7408 0.2500
0.7408 0.2592 0.7500
0.8824 0.1176 0.0501
0.8824 0.1176 0.4499
0.2631 0.7369 0.5709
0.2631 0.7369 0.9291
0.3724 0.6276 0.6520
0.3724 0.6276 0.8480
0.4085 0.5915 0.2500
0.4966 0.5034 0.5922
0.4966 0.5034 0.9078
0.5034 0.4966 0.0922
0.5034 0.4966 0.4078
0.5915 0.4085 0.7500
0.6276 0.3724 0.1520
0.6276 0.3724 0.3480
0.7369 0.2631 0.0709
0.7369 0.2631 0.4291
0.0329 0.9671 0.2500
0.9671 0.0329 0.7500
```

=====

The following is a PBE-GGA calculation of a relaxed Sc3Zn2Ag2 crystal, from Alexandria.

Calculated values
The value obtained for the formation energy is -0.243 eV/atom. Its density of states at the Fermi level is 6.17 states/eV/cell. The calculated volume is 19.20 Å³/atom.

```
Sc3Zn2Ag2
1.0
2.0640 -9.9039 0.0000
2.0640 9.9039 0.0000
0.0000 0.0000 3.2879
Sc Zn Ag
3 2 2
Direct
0.0000 0.0000 0.0000
0.1612 0.8388 0.0000
0.8388 0.1612 0.0000
0.2843 0.7157 0.5000
0.7157 0.2843 0.5000
0.4231 0.5769 0.5000
0.5769 0.4231 0.5000
```

=====

The following is a PBE-GGA calculation of a relaxed ScZn2Ag crystal, from Alexandria.

Calculated values
The value obtained for the formation energy is 0.002 eV/atom. Its density of states at the Fermi level is 2.47 states/eV/cell. The calculated volume is 18.43 Å³/atom.

```
ScZn2Ag
1.0
1.5583 0.8997 8.7634
-1.5583 0.8997 8.7634
0.0000 -1.7993 8.7634
Sc Zn Ag
1 2 1
Direct
0.0000 0.0000 0.0000
0.2473 0.2473 0.2473
0.5064 0.5064 0.5064
0.7584 0.7584 0.7584
```

=====

The following is a PBE-GGA calculation of a relaxed Sc4ZnAg3 crystal, from Alexandria.

Calculated values
The value obtained for the formation energy is -0.302 eV/atom. Its density of states at the Fermi level is 5.56 states/eV/cell. The calculated volume is 19.86 Å³/atom.

```
Sc4ZnAg3
1.0
3.4174 0.0000 0.0000
0.0000 3.4174 0.0000
0.0000 0.0000 13.6013
Sc Zn Ag
4 1 3
Direct
0.0000 0.0000 0.1188
0.0000 0.0000 0.3726
0.0000 0.0000 0.6274
0.0000 0.0000 0.8812
0.5000 0.5000 0.0000
0.5000 0.5000 0.2451
0.5000 0.5000 0.5000
0.5000 0.5000 0.7549
```

=====

The following is a PBE-GGA calculation of a relaxed Sc2ZnAg2 crystal, from Alexandria.

Calculated values
The value obtained for the formation energy is 0.053 eV/atom. Its density of states at the Fermi level is 4.58 states/eV/cell. The calculated volume is 21.48 Å³/atom.

```
Sc2ZnAg2
1.0
-1.8574 1.8574 7.7825
1.8574 -1.8574 7.7825
1.8574 1.8574 -7.7825
Sc Zn Ag
2 1 2
Direct
0.0978 0.0978 0.0000
0.9022 0.9022 0.0000
0.5000 0.5000 0.0000
0.2500 0.7500 0.5000
0.7500 0.2500 0.5000
```

=====

The following is a PBE-GGA calculation of a relaxed Sc11Zn4Ag9 crystal, from Alexandria.

Calculated values
The value obtained for the formation energy is -0.260 eV/atom. Its density of states at the Fermi level is 19.08 states/eV/cell. The calculated volume is 19.72 Å³/atom.

```
Sc11Zn4Ag9
1.0
6.7767 -10.1855 0.0000
6.7767 10.1855 0.0000
0.0000 0.0000 3.4278
Sc Zn Ag
11 4 9
Direct
0.0000 0.0000 0.0000
0.0725 0.4136 0.0000
0.1662 0.8338 0.0000
0.2714 0.2714 0.0000
0.3528 0.6472 0.0000
0.4136 0.0725 0.0000
0.5864 0.9275 0.0000
0.6472 0.3528 0.0000
0.7286 0.7286 0.0000
0.8338 0.1662 0.0000
0.9275 0.5864 0.0000
0.2654 0.4506 0.5000
0.4506 0.2654 0.5000
0.5494 0.7346 0.5000
0.7346 0.5494 0.5000
0.0564 0.2124 0.5000
0.1465 0.6283 0.5000
0.2124 0.0564 0.5000
0.3717 0.8535 0.5000
0.5000 0.5000 0.5000
0.6283 0.1465 0.5000
0.7876 0.9436 0.5000
0.8535 0.3717 0.5000
0.9436 0.7876 0.5000
```